Entry from Alexandria: CsBa2MnO4 after structural relaxation (GGA+U).

VASP energy	-95.6	eV/cell
calculated volume	21.87	Å³ per atom
space group	No. 63

abc: 7.1827 7.1827 13.2134
angles: 90.00 90.00 149.12
Sites, in units of the cell vectors:
Cs1 0.0901 0.9099 0.7500
Cs2 0.9099 0.0901 0.2500
Ba1 0.3697 0.6303 0.5380
Ba2 0.3697 0.6303 0.9620
Ba3 0.6303 0.3697 0.0380
Ba4 0.6303 0.3697 0.4620
Mn1 0.1967 0.8033 0.2500
Mn2 0.8033 0.1967 0.7500
O1 0.0000 0.0000 0.0000
O2 0.0000 0.0000 0.5000
O3 0.2526 0.7474 0.1206
O4 0.2526 0.7474 0.3794
O5 0.3534 0.6466 0.7500
O6 0.6466 0.3534 0.2500
O7 0.7474 0.2526 0.6206
O8 0.7474 0.2526 0.8794